Pm3Tl3Hg | PBE | optimized geometry

Properties
**Energy of formation from the pure elements**: -0.271 eV/atom
**Spin magnetization**: 2.0 Bohr magnetons per cell
**N(E_F)**: 23.89 states/eV/cell

Cell lengths 10.723, 10.399, 7.543 Å; angles 90.00, 90.17, 90.00 degrees
Space group C2/m (No. 12)
Asymmetric unit:
Pm (0.016, 0.000, 0.254) x4
Pm (0.248, 0.224, 0.746) x8
Tl (0.000, 0.274, 0.000) x4
Tl (0.000, 0.298, 0.500) x4
Tl (0.210, 0.500, 0.961) x4
Hg (0.224, 0.500, 0.539) x4